No. 1
First-principles (PBE-GGA) data for a geometry-optimized La2Pd2Br structure, as listed in the Alexandria database.

a = 8.317 Å, b = 8.317 Å, c = 3.823 Å
α = 90.00°, β = 90.00°, γ = 90.00°
Atoms (fractional coordinates):
La 0.175 0.325 0.000
La 0.325 0.825 0.000
La 0.675 0.175 0.000
La 0.825 0.675 0.000
Pd 0.119 0.619 0.500
Pd 0.381 0.119 0.500
Pd 0.619 0.881 0.500
Pd 0.881 0.381 0.500
Br 0.000 0.000 0.000
Br 0.500 0.500 0.000

Properties
ΔE_f (raw) = -5.0 eV per formula unit
N(E_F) = 7.87 states/eV/cell

---

No. 2
First-principles (PBE-GGA) data for a geometry-optimized LaPdBr3 structure, as listed in the Alexandria database.

a = 5.835 Å, b = 5.835 Å, c = 5.835 Å
α = 90.00°, β = 90.00°, γ = 90.00°
Atoms (fractional coordinates):
La 0.000 0.000 0.000
Pd 0.500 0.500 0.500
Br 0.000 0.000 0.500
Br 0.000 0.500 0.000
Br 0.500 0.000 0.000

Properties
ΔE_f (raw) = -4.4 eV per formula unit
N(E_F) = 0.00 states/eV/cell

---

No. 3
First-principles (PBE-GGA) data for a geometry-optimized LaPd3Br structure, as listed in the Alexandria database.

a = 5.249 Å, b = 5.249 Å, c = 5.249 Å
α = 90.00°, β = 90.00°, γ = 90.00°
Atoms (fractional coordinates):
La 0.000 0.000 0.000
Pd 0.000 0.000 0.500
Pd 0.000 0.500 0.000
Pd 0.500 0.000 0.000
Br 0.500 0.500 0.500

Properties
ΔE_f (raw) = 2.3 eV per formula unit
N(E_F) = 1.27 states/eV/cell

---

No. 4
First-principles (PBE-GGA) data for a geometry-optimized La2PdBr2 structure, as listed in the Alexandria database.

a = 11.383 Å, b = 11.383 Å, c = 11.383 Å
α = 21.47°, β = 21.47°, γ = 21.47°
Atoms (fractional coordinates):
La 0.115 0.115 0.115
La 0.885 0.885 0.885
Pd 0.500 0.500 0.500
Br 0.277 0.277 0.277
Br 0.723 0.723 0.723

Properties
ΔE_f (raw) = -6.9 eV per formula unit
N(E_F) = 2.02 states/eV/cell

---

No. 5
First-principles (PBE-GGA) data for a geometry-optimized La8Pd3PtBr4 structure, as listed in the Alexandria database.

a = 9.294 Å, b = 9.294 Å, c = 9.294 Å
α = 54.91°, β = 54.91°, γ = 54.91°
Atoms (fractional coordinates):
La 0.234 0.234 0.234
La 0.237 0.733 0.733
La 0.267 0.267 0.763
La 0.267 0.763 0.267
La 0.733 0.237 0.733
La 0.733 0.733 0.237
La 0.763 0.267 0.267
La 0.766 0.766 0.766
Pd 0.000 0.000 0.500
Pd 0.000 0.500 0.000
Pd 0.500 0.000 0.000
Pt 0.500 0.500 0.500
Br 0.000 0.000 0.000
Br 0.000 0.500 0.500
Br 0.500 0.000 0.500
Br 0.500 0.500 0.000

Properties
ΔE_f (raw) = -18.3 eV per formula unit
N(E_F) = 13.98 states/eV/cell

---

No. 6
First-principles (PBE-GGA) data for a geometry-optimized La8Pd3RhBr4 structure, as listed in the Alexandria database.

a = 9.311 Å, b = 9.311 Å, c = 9.311 Å
α = 54.46°, β = 54.46°, γ = 54.46°
Atoms (fractional coordinates):
La 0.234 0.234 0.234
La 0.241 0.730 0.730
La 0.270 0.270 0.759
La 0.270 0.759 0.270
La 0.730 0.241 0.730
La 0.730 0.730 0.241
La 0.759 0.270 0.270
La 0.766 0.766 0.766
Pd 0.000 0.000 0.500
Pd 0.000 0.500 0.000
Pd 0.500 0.000 0.000
Rh 0.500 0.500 0.500
Br 0.000 0.000 0.000
Br 0.000 0.500 0.500
Br 0.500 0.000 0.500
Br 0.500 0.500 0.000

Properties
ΔE_f (raw) = -17.7 eV per formula unit
N(E_F) = 12.73 states/eV/cell

---

No. 7
First-principles (PBE-GGA) data for a geometry-optimized La4PdRhBr2 structure, as listed in the Alexandria database.

a = 7.349 Å, b = 4.231 Å, c = 8.301 Å
α = 90.00°, β = 107.26°, γ = 90.00°
Atoms (fractional coordinates):
La 0.226 0.000 0.198
La 0.259 0.500 0.801
La 0.741 0.500 0.199
La 0.774 0.000 0.802
Pd 0.500 0.000 0.000
Rh 0.000 0.500 0.000
Br 0.000 0.000 0.500
Br 0.500 0.500 0.500

Properties
ΔE_f (raw) = -9.1 eV per formula unit
N(E_F) = 5.08 states/eV/cell

---

No. 8
First-principles (PBE-GGA) data for a geometry-optimized La6Pd2RhBr3 structure, as listed in the Alexandria database.

a = 10.229 Å, b = 10.229 Å, c = 9.315 Å
α = 109.96°, β = 109.96°, γ = 24.02°
Atoms (fractional coordinates):
La 0.009 0.009 0.216
La 0.324 0.324 0.442
La 0.349 0.349 0.894
La 0.651 0.651 0.106
La 0.676 0.676 0.558
La 0.991 0.991 0.784
Pd 0.167 0.167 0.335
Pd 0.833 0.833 0.665
Rh 0.500 0.500 0.000
Br 0.167 0.167 0.832
Br 0.500 0.500 0.500
Br 0.833 0.833 0.168

Properties
ΔE_f (raw) = -13.4 eV per formula unit
N(E_F) = 9.86 states/eV/cell

---

No. 9
First-principles (PBE-GGA) data for a geometry-optimized La6PdRh2Br3 structure, as listed in the Alexandria database.

a = 10.232 Å, b = 10.232 Å, c = 9.317 Å
α = 110.45°, β = 110.45°, γ = 23.77°
Atoms (fractional coordinates):
La 0.015 0.015 0.228
La 0.321 0.321 0.447
La 0.341 0.341 0.882
La 0.659 0.659 0.118
La 0.679 0.679 0.553
La 0.985 0.985 0.772
Pd 0.500 0.500 0.000
Rh 0.167 0.167 0.333
Rh 0.833 0.833 0.667
Br 0.166 0.166 0.834
Br 0.500 0.500 0.500
Br 0.834 0.834 0.166

Properties
ΔE_f (raw) = -13.9 eV per formula unit
N(E_F) = 6.50 states/eV/cell

---

No. 10
First-principles (PBE-GGA) data for a geometry-optimized La8PdRh3Br4 structure, as listed in the Alexandria database.

a = 9.311 Å, b = 9.311 Å, c = 9.311 Å
α = 53.76°, β = 53.76°, γ = 53.76°
Atoms (fractional coordinates):
La 0.225 0.736 0.736
La 0.233 0.233 0.233
La 0.264 0.264 0.775
La 0.264 0.775 0.264
La 0.736 0.225 0.736
La 0.736 0.736 0.225
La 0.767 0.767 0.767
La 0.775 0.264 0.264
Pd 0.500 0.500 0.500
Rh 0.000 0.000 0.500
Rh 0.000 0.500 0.000
Rh 0.500 0.000 0.000
Br 0.000 0.000 0.000
Br 0.000 0.500 0.500
Br 0.500 0.000 0.500
Br 0.500 0.500 0.000

Properties
ΔE_f (raw) = -18.7 eV per formula unit
N(E_F) = 7.69 states/eV/cell

---

No. 11
First-principles (PBE-GGA) data for a geometry-optimized La4PdRuBr2 structure, as listed in the Alexandria database.

a = 7.291 Å, b = 4.209 Å, c = 8.311 Å
α = 90.00°, β = 106.85°, γ = 90.00°
Atoms (fractional coordinates):
La 0.222 0.000 0.200
La 0.253 0.500 0.803
La 0.747 0.500 0.197
La 0.778 0.000 0.800
Pd 0.500 0.000 0.000
Ru 0.000 0.500 0.000
Br 0.000 0.000 0.500
Br 0.500 0.500 0.500

Properties
ΔE_f (raw) = -8.4 eV per formula unit
N(E_F) = 2.59 states/eV/cell

---

No. 12
First-principles (PBE-GGA) data for a geometry-optimized La8PdRu3Br4 structure, as listed in the Alexandria database.

a = 9.303 Å, b = 9.303 Å, c = 9.303 Å
α = 53.37°, β = 53.37°, γ = 53.37°
Atoms (fractional coordinates):
La 0.219 0.739 0.739
La 0.233 0.233 0.233
La 0.261 0.261 0.781
La 0.261 0.781 0.261
La 0.739 0.219 0.739
La 0.739 0.739 0.219
La 0.767 0.767 0.767
La 0.781 0.261 0.261
Pd 0.500 0.500 0.500
Ru 0.000 0.000 0.500
Ru 0.000 0.500 0.000
Ru 0.500 0.000 0.000
Br 0.000 0.000 0.000
Br 0.000 0.500 0.500
Br 0.500 0.000 0.500
Br 0.500 0.500 0.000

Properties
ΔE_f (raw) = -16.0 eV per formula unit
N(E_F) = 6.54 states/eV/cell